## RbErAg2Cl6 (PBE)

Data for a relaxed structure of RbErAg2Cl6.

```
RbErAg2Cl6
1.0
-2.428 2.817 -6.105
-6.911 -0.597 -1.717
-4.361 6.340 0.470
Rb Er Ag Cl
1 1 2 6
Direct
0.802 0.802 0.592 Rb
0.326 0.326 0.021 Er
0.521 0.522 0.435 Ag
0.002 0.003 0.993 Ag
0.573 0.262 0.230 Cl
0.262 0.935 0.230 Cl
0.935 0.572 0.230 Cl
0.337 0.725 0.762 Cl
0.725 0.176 0.761 Cl
0.176 0.338 0.761 Cl
```

Summary:
Formation energy (no corrections) ... -1.48 eV/atom
DOS at the Fermi energy ... 0.000 states/eV per cell
Symmetry ... P1, No. 1
Total DFT energy (no corrections) ... -37.11 eV/cell


## Na2TmTc2N4 (PBE)

Data for a relaxed structure of Na2TmTc2N4.

```
Na2TmTc2N4
1.0
3.390 0.000 0.000
-1.695 6.424 -2.324
0.000 -4.108 7.597
Na Tm Tc N
2 1 2 4
Direct
0.836 0.672 0.446 Na
0.164 0.328 0.554 Na
0.000 0.000 0.000 Tm
0.353 0.706 0.081 Tc
0.647 0.294 0.919 Tc
0.781 0.562 0.883 N
0.219 0.438 0.117 N
0.548 0.096 0.238 N
0.452 0.904 0.762 N
```

Summary:
Formation energy (no corrections) ... -0.44 eV/atom
DOS at the Fermi energy ... 2.940 states/eV per cell
Symmetry ... C2/m, No. 12
Total DFT energy (no corrections) ... -65.13 eV/cell


## LuHf2Np (PBE)

Data for a relaxed structure of LuHf2Np.

```
LuHf2Np
1.0
3.215 0.000 0.000
1.608 2.784 0.000
1.608 0.928 10.677
Np Lu Hf
1 1 2
Direct
0.000 0.000 0.000 Np
0.500 0.500 0.500 Lu
0.252 0.252 0.243 Hf
0.748 0.748 0.757 Hf
```

Summary:
DOS at the Fermi energy ... 9.146 states/eV per cell
ΔE_f ... 293 meV per atom
Symmetry ... R-3m, No. 166
Total DFT energy (no corrections) ... -36.20 eV/cell


## Li2NdSc (PBE)

Data for a relaxed structure of Li2NdSc.

```
Li2NdSc
1.0
3.243 0.000 0.000
1.622 2.809 0.000
1.622 0.936 11.724
Sc Nd Li
1 1 2
Direct
0.000 0.000 0.000 Sc
0.500 0.500 0.500 Nd
0.085 0.085 0.746 Li
0.915 0.915 0.254 Li
```

Summary:
DOS at the Fermi energy ... 5.127 states/eV per cell
ΔE_f ... 320 meV per atom
Symmetry ... R-3m, No. 166
Total DFT energy (no corrections) ... -13.65 eV/cell


## KBa3Al (PBE)

Data for a relaxed structure of KBa3Al.

```
KBa3Al
1.0
6.800 0.000 0.000
0.000 6.800 0.000
0.000 0.000 6.800
K Ba Al
1 3 1
Direct
0.500 0.500 0.500 K
0.000 0.500 0.000 Ba
0.000 0.000 0.500 Ba
0.500 0.000 0.000 Ba
0.000 0.000 0.000 Al
```

Summary:
DOS at the Fermi energy ... 7.614 states/eV per cell
ΔE_f ... 89 meV per atom
Symmetry ... Pm-3m, No. 221
Total DFT energy (no corrections) ... -10.16 eV/cell


## Y2BeCo (PBE)

Data for a relaxed structure of Y2BeCo.

```
Y2BeCo
1.0
-4.345 -5.281 -2.705
1.623 -4.282 5.754
-3.783 -3.592 3.093
Y Be Co
4 2 2
Direct
0.651 0.125 0.250 Y
0.099 0.625 0.250 Y
0.375 0.349 0.750 Y
0.875 0.901 0.750 Y
0.500 0.500 0.000 Be
0.250 0.750 0.500 Be
0.000 0.000 0.000 Co
0.750 0.250 0.500 Co
```

Summary:
DOS at the Fermi energy ... 11.861 states/eV per cell
ΔE_f ... 469 meV per atom
Symmetry ... I-42d, No. 122
Total DFT energy (no corrections) ... -43.77 eV/cell


## Tb2Sm5Th (PBE)

Data for a relaxed structure of Tb2Sm5Th.

```
Tb2Sm5Th
1.0
-3.725 -0.438 -3.462
4.839 -2.000 -4.952
-1.864 -13.801 3.753
Tb Sm Th
4 10 2
Direct
0.500 0.242 0.623 Tb
0.500 0.758 0.377 Tb
0.500 0.258 0.123 Tb
0.500 0.742 0.877 Tb
0.000 0.000 0.000 Sm
0.000 0.500 0.500 Sm
0.000 0.497 0.751 Sm
0.000 0.503 0.249 Sm
0.000 0.003 0.251 Sm
0.000 0.997 0.749 Sm
0.500 0.254 0.877 Sm
0.500 0.746 0.123 Sm
0.500 0.246 0.377 Sm
0.500 0.754 0.623 Sm
0.000 0.000 0.500 Th
0.000 0.500 0.000 Th
```

Summary:
DOS at the Fermi energy ... 22.385 states/eV per cell
ΔE_f ... 28 meV per atom
Symmetry ... Pbam, No. 55
Total DFT energy (no corrections) ... -80.10 eV/cell


## SrP2RhS8 (PBE)

Data for a relaxed structure of SrP2RhS8.

```
SrP2RhS8
1.0
-0.247 -1.483 -5.622
5.090 -0.117 2.820
-1.418 -8.180 2.219
Sr P Rh S
1 2 1 8
Direct
0.000 0.000 0.000 Sr
0.667 0.333 0.269 P
0.333 0.667 0.731 P
0.000 0.000 0.500 Rh
0.333 0.667 0.967 S
0.315 0.326 0.327 S
0.674 0.989 0.327 S
0.667 0.333 0.033 S
0.326 0.011 0.673 S
0.685 0.674 0.673 S
0.989 0.315 0.673 S
0.011 0.685 0.327 S
```

Summary:
Formation energy (no corrections) ... -0.49 eV/atom
DOS at the Fermi energy ... 13.493 states/eV per cell
Symmetry ... P-3, No. 147
Total DFT energy (no corrections) ... -58.80 eV/cell


## LaPrLuSn (PBE)

Data for a relaxed structure of LaPrLuSn.

```
LaPrLuSn
1.0
-1.917 -2.386 4.667
0.273 -5.540 0.617
3.571 -2.227 3.665
Pr Lu Sn La
1 1 1 1
Direct
0.000 0.000 0.000 Pr
0.750 0.750 0.750 Lu
0.250 0.250 0.250 Sn
0.500 0.500 0.500 La
```

Summary:
DOS at the Fermi energy ... 6.599 states/eV per cell
ΔE_f ... -266 meV per atom
Symmetry ... F-43m, No. 216
Total DFT energy (no corrections) ... -19.29 eV/cell


## Ac2NbGaO8 (PBE)

Data for a relaxed structure of Ac2NbGaO8.

```
Ac2NbGaO8
1.0
6.838 0.000 0.000
-3.419 5.922 0.000
0.000 0.000 5.198
Ac Nb Ga O
2 1 1 8
Direct
0.667 0.333 0.762 Ac
0.333 0.667 0.238 Ac
0.000 0.000 0.500 Nb
0.000 0.000 0.000 Ga
0.870 0.739 0.750 O
0.261 0.130 0.750 O
0.870 0.130 0.750 O
0.130 0.261 0.250 O
0.739 0.870 0.250 O
0.130 0.870 0.250 O
0.667 0.333 0.258 O
0.333 0.667 0.742 O
```

Summary:
Formation energy (no corrections) ... -2.16 eV/atom
DOS at the Fermi energy ... 11.419 states/eV per cell
Symmetry ... P-3m1, No. 164
Total DFT energy (no corrections) ... -86.90 eV/cell


## Tm2Zn5AgRu2 (PBE)

Data for a relaxed structure of Tm2Zn5AgRu2.

```
Tm2Zn5AgRu2
1.0
-1.217 2.900 -2.615
-6.698 -5.664 -3.162
-5.863 3.342 6.434
Tm Zn Ag Ru
4 10 2 4
Direct
0.000 0.674 0.174 Tm
0.000 0.326 0.826 Tm
0.000 0.174 0.326 Tm
0.000 0.826 0.674 Tm
0.500 0.206 0.062 Zn
0.500 0.794 0.938 Zn
0.500 0.062 0.794 Zn
0.500 0.706 0.438 Zn
0.500 0.938 0.206 Zn
0.500 0.294 0.562 Zn
0.500 0.562 0.706 Zn
0.500 0.438 0.294 Zn
0.500 0.500 0.000 Zn
0.500 0.000 0.500 Zn
0.000 0.000 0.000 Ag
0.000 0.500 0.500 Ag
0.000 0.124 0.624 Ru
0.000 0.876 0.376 Ru
0.000 0.624 0.876 Ru
0.000 0.376 0.124 Ru
```

Summary:
DOS at the Fermi energy ... 12.719 states/eV per cell
ΔE_f ... -198 meV per atom
Symmetry ... P4/mbm, No. 127
Total DFT energy (no corrections) ... -77.39 eV/cell


## Na3Tm3AlTe8 (PBE)

Data for a relaxed structure of Na3Tm3AlTe8.

```
Na3Tm3AlTe8
1.0
-2.722 5.806 -5.596
-1.058 -8.291 -1.615
-5.327 3.783 6.516
Na Tm Al Te
3 3 1 8
Direct
0.000 0.000 0.000 Na
0.000 0.500 0.000 Na
0.500 0.500 0.000 Na
0.500 0.000 0.500 Tm
0.500 0.500 0.500 Tm
0.000 0.500 0.500 Tm
0.000 0.000 0.500 Al
0.257 0.513 0.270 Te
0.743 0.487 0.730 Te
0.770 0.540 0.283 Te
0.230 0.460 0.717 Te
0.770 0.013 0.283 Te
0.230 0.987 0.717 Te
0.243 0.013 0.283 Te
0.757 0.987 0.717 Te
```

Summary:
Formation energy (no corrections) ... -1.04 eV/atom
DOS at the Fermi energy ... 7.577 states/eV per cell
Symmetry ... R-3m, No. 166
Total DFT energy (no corrections) ... -61.78 eV/cell